Material: CsSn2BPt
Method: DFT, PBE-GGA
State: relaxed

It has space group P4/mmm (No. 123), with a = 6.330 Å, b = 6.330 Å, c = 5.230 Å, α = 90.00°, β = 90.00° and γ = 90.00°. The inequivalent atoms are Cs at (0.000, 0.000, 0.000), Sn at (0.000, 0.500, 0.000), B at (0.500, 0.500, 0.500) and Pt at (0.000, 0.000, 0.500).

Its total energy is -0.13661 Ry/atom. The calculation puts the formation energy at 2.46 eV per atom.

Material: BaZn2Re
Method: DFT, PBE-GGA
State: relaxed

It has space group I4/mmm (No. 139), with a = 4.629 Å, b = 4.629 Å, c = 8.005 Å, α = 90.00°, β = 90.00° and γ = 90.00°. The inequivalent atoms are Ba at (0.000, 0.000, 0.000), Zn at (0.000, 0.500, 0.250) and Re at (0.000, 0.000, 0.500).

The calculation puts the excess energy over the best structure of this formula in the dataset at 379 meV/atom. Its total energy is -0.24911 Ry/atom. The calculation puts the formation energy at 0.84 eV per atom.

Material: MnSn
Method: DFT, PBE-GGA
State: relaxed

It has space group Pm-3m (No. 221), with a = 3.326 Å, b = 3.326 Å, c = 3.326 Å, α = 90.00°, β = 90.00° and γ = 90.00°. The inequivalent atoms are Mn at (0.000, 0.000, 0.000) and Sn at (0.500, 0.500, 0.500).

Its total energy is -0.46100 Ry/atom. The calculation puts the formation energy at 0.31 eV per atom.

Material: TbTm5Ga6
Method: DFT, PBE-GGA
State: relaxed

It has space group P2/m (No. 10), with a = 5.001 Å, b = 7.055 Å, c = 7.901 Å, α = 90.00°, β = 108.39° and γ = 90.00°. The inequivalent atoms are Tb at (0.000, 0.000, 0.000), Tm at (0.000, 0.500, 0.000), Tm at (0.333, 0.000, 0.665), Tm at (0.335, 0.500, 0.669), Ga at (0.168, 0.253, 0.336) and Ga at (0.500, 0.252, 0.000).

Its total energy is -0.31847 Ry/atom. The calculation puts the formation energy at -0.57 eV per atom.

Material: NiAsRu2
Method: DFT, PBE-GGA
State: relaxed

It has space group C2/m (No. 12), with a = 8.335 Å, b = 2.842 Å, c = 4.764 Å, α = 90.00°, β = 104.14° and γ = 90.00°. The inequivalent atoms are Ni at (0.000, 0.000, 0.000), As at (0.000, 0.500, 0.500) and Ru at (0.241, 0.000, 0.760).

Its total energy is -0.52526 Ry/atom. The calculation puts the formation energy at 0.10 eV per atom.

Material: Na2CaCoPd
Method: DFT, PBE-GGA
State: relaxed

It has space group P4/mmm (No. 123), with a = 5.280 Å, b = 5.280 Å, c = 5.458 Å, α = 90.00°, β = 90.00° and γ = 90.00°. The inequivalent atoms are Na at (0.000, 0.500, 0.000), Ca at (0.000, 0.000, 0.500), Co at (0.500, 0.500, 0.500) and Pd at (0.000, 0.000, 0.000).

Its total energy is -0.20334 Ry/atom. The calculation puts the formation energy at 0.62 eV per atom.

Material: Tl2SiHgF6
Method: DFT, PBE-GGA
State: relaxed

It has space group P-1 (No. 2), with a = 5.954 Å, b = 5.995 Å, c = 7.098 Å, α = 65.31°, β = 89.08° and γ = 62.75°. The inequivalent atoms are Tl at (0.249, 0.005, 0.244), Si at (0.000, 0.500, 0.500), Hg at (0.500, 0.500, 0.000), F at (0.092, 0.242, 0.758), F at (0.118, 0.672, 0.575) and F at (0.298, 0.310, 0.455).

Its total energy is -0.33298 Ry/atom.

Material: Ca2CdP2
Method: DFT, PBE-GGA
State: relaxed

It has space group Ibam (No. 72), with a = 7.100 Å, b = 11.493 Å, c = 5.983 Å, α = 90.00°, β = 90.00° and γ = 90.00°. The inequivalent atoms are Ca at (0.158, 0.138, 0.000), Cd at (0.000, 0.500, 0.250) and P at (0.250, 0.118, 0.500).

The calculation puts the excess energy over the best structure of this formula in the dataset at 74 meV/atom. Its total energy is -0.29264 Ry/atom. The calculation puts the formation energy at -0.83 eV per atom.

Material: LaTeRu2
Method: DFT, PBE-GGA
State: relaxed

It has space group Pmm2 (No. 25), with a = 3.114 Å, b = 3.982 Å, c = 6.911 Å, α = 90.00°, β = 90.00° and γ = 90.00°. The inequivalent atoms are La at (0.000, 0.000, 0.000), Te at (0.500, 0.500, 0.634), Ru at (0.000, 0.000, 0.402) and Ru at (0.500, 0.500, 0.256).

The calculation puts the excess energy over the best structure of this formula in the dataset at 324 meV/atom. Its total energy is -0.48949 Ry/atom.

Material: TeP3Cl
Method: DFT, PBE-GGA
State: relaxed

It has space group Pm-3m (No. 221), with a = 5.143 Å, b = 5.143 Å, c = 5.143 Å, α = 90.00°, β = 90.00° and γ = 90.00°. The inequivalent atoms are Te at (0.000, 0.000, 0.000), P at (0.000, 0.000, 0.500) and Cl at (0.500, 0.500, 0.500).

The calculation puts the excess energy over the best structure of this formula in the dataset at 44 meV/atom. Its total energy is -0.21204 Ry/atom.

Material: PrErMgHg
Method: DFT, PBE-GGA
State: relaxed

It has space group F-43m (No. 216), with a = 7.605 Å, b = 7.605 Å, c = 7.605 Å, α = 90.00°, β = 90.00° and γ = 90.00°. The inequivalent atoms are Pr at (0.000, 0.000, 0.000), Er at (0.000, 0.000, 0.500), Mg at (0.250, 0.250, 0.250) and Hg at (0.250, 0.250, 0.750).

The calculation puts the excess energy over the best structure of this formula in the dataset at 24 meV/atom. Its total energy is -0.22513 Ry/atom. The calculation puts the formation energy at -0.25 eV per atom.

Material: Sc2HgPt
Method: DFT, PBE-GGA
State: relaxed

It has space group R3m (No. 160, hexagonal axes), with a = 3.4031 Å, b = 3.4031 Å, c = 26.8814 Å, α = 90.00°, β = 90.00° and γ = 120.00°. The inequivalent atoms are Sc at (0.0000, 0.0000, 0.0000), Sc at (0.0000, 0.0000, 0.2309), Hg at (0.0000, 0.0000, 0.7515) and Pt at (0.0000, 0.0000, 0.4997).

Its total energy is -0.37143 Ry/atom. The calculation puts the formation energy at -0.30 eV per atom.